{
  "formula": "KHg2MoPt",
  "functional": "PBE-GGA",
  "state": "relaxed",
  "lattice_angstrom": [[5.3902, 0.0000, 0.0000], [0.0000, 5.3902, 0.0000], [0.0000, 0.0000, 5.0564]],
  "species": ["K", "Hg", "Hg", "Mo", "Pt"],
  "fractional_positions": [[0.0000, 0.0000, 0.0000], [0.0000, 0.5000, 0.5000], [0.5000, 0.0000, 0.5000], [0.5000, 0.5000, 0.0000], [0.5000, 0.5000, 0.5000]],
  "formation_energy_ev_per_atom": 0.532,
  "total_magnetization_mub_per_cell": 3.5
}